1.
Entry from the Alexandria database: crystalline CaAg5Hg2 at its relaxed geometry (GGA-PBE). Values from VASP.

E_form (eV per atom): -0.06
Symmetry: Immm, No. 71
Mass density (g/cm3): 9.44

Geometry as Quantum ESPRESSO input:
```
&SYSTEM
  ibrav = 0, nat = 8, ntyp = 3
/
ATOMIC_SPECIES
Ag 107.87 Ag.upf
Hg 200.59 Hg.upf
Ca 40.08 Ca.upf
CELL_PARAMETERS angstrom
-3.104 1.612 0.074
-2.878 -2.042 6.447
1.026 5.556 4.700
ATOMIC_POSITIONS crystal
Ag 0.374 0.413 0.839
Ag 0.626 0.161 0.587
Ag 0.000 0.500 0.500
Ag 0.626 0.587 0.161
Ag 0.374 0.839 0.413
Hg 0.739 0.761 0.761
Hg 0.261 0.239 0.239
Ca 0.000 0.000 0.000
```

2.
Entry from the Alexandria database: crystalline LaMo2Os at its relaxed geometry (GGA-PBE). Values from VASP.

Offset from the most stable computed form (eV/atom): 0.2172
E_form (eV per atom): 0.57
Symmetry: Imm2, No. 44
Mass density (g/cm3): 11.49

Geometry as Quantum ESPRESSO input:
```
&SYSTEM
  ibrav = 0, nat = 4, ntyp = 3
/
ATOMIC_SPECIES
Os 190.23 Os.upf
Mo 95.94 Mo.upf
La 138.91 La.upf
CELL_PARAMETERS angstrom
-2.829 4.570 1.452
-4.312 1.234 -3.298
2.297 -3.639 3.532
ATOMIC_POSITIONS crystal
Os 0.524 0.524 0.000
Mo 0.753 0.253 0.500
Mo 0.975 0.975 0.000
La 0.248 0.748 0.500
```

3.
Entry from the Alexandria database: crystalline Ce5Tl2Sn at its relaxed geometry (GGA-PBE). Values from VASP.

Offset from the most stable computed form (eV/atom): 0.0000
E_form (eV per atom): -0.28
Symmetry: I4/mcm, No. 140
Mass density (g/cm3): 8.78

Geometry as Quantum ESPRESSO input:
```
&SYSTEM
  ibrav = 0, nat = 16, ntyp = 3
/
ATOMIC_SPECIES
Sn 118.71 Sn.upf
Tl 204.38 Tl.upf
Ce 140.12 Ce.upf
CELL_PARAMETERS angstrom
8.560 0.000 0.000
0.000 8.560 0.000
-4.280 -4.280 6.339
ATOMIC_POSITIONS crystal
Sn 0.250 0.250 0.500
Sn 0.750 0.750 0.500
Tl 0.130 0.370 0.000
Tl 0.370 0.870 0.000
Tl 0.630 0.130 0.000
Tl 0.870 0.630 0.000
Ce 0.499 0.342 0.341
Ce 0.842 0.999 0.341
Ce 0.501 0.658 0.659
Ce 0.001 0.501 0.659
Ce 0.999 0.499 0.341
Ce 0.158 0.001 0.659
Ce 0.342 0.842 0.341
Ce 0.500 0.500 0.000
Ce 0.658 0.158 0.659
Ce 0.000 0.000 0.000
```

4.
Entry from the Alexandria database: crystalline AsOsPbSe2 at its relaxed geometry (GGA-PBE). Values from VASP.

Offset from the most stable computed form (eV/atom): 0.0000
Symmetry: P4/mmm, No. 123
Mass density (g/cm3): 8.45

Geometry as Quantum ESPRESSO input:
```
&SYSTEM
  ibrav = 0, nat = 5, ntyp = 4
/
ATOMIC_SPECIES
Os 190.23 Os.upf
Pb 207.20 Pb.upf
Se 78.96 Se.upf
As 74.92 As.upf
CELL_PARAMETERS angstrom
5.183 0.000 0.000
0.000 5.183 0.000
0.000 0.000 4.610
ATOMIC_POSITIONS crystal
Os 0.000 0.000 0.000
Pb 0.500 0.500 0.500
Se 0.500 0.000 0.000
Se 0.000 0.500 0.000
As 0.000 0.000 0.500
```